<w>
Below is Cd2AsRu2 after structural relaxation, with properties calculated at the PBE level.

Calculated values
* spin magnetization: 0.0 μB per cell
* space-group type: No. 127

Lattice parameters (Å, degrees): 6.257 6.257 4.569 90.00 90.00 90.00
Fractional positions:
Cd  0.162  0.338  0.000
Cd  0.338  0.838  0.000
Cd  0.662  0.162  0.000
Cd  0.838  0.662  0.000
As  0.000  0.000  0.500
As  0.500  0.500  0.500
Ru  0.147  0.647  0.500
Ru  0.353  0.147  0.500
Ru  0.647  0.853  0.500
Ru  0.853  0.353  0.500

<x>
Below is Cd2AsRu2 after structural relaxation, with properties calculated at the PBE level.

Calculated values
* spin magnetization: 2.5 μB per cell
* space-group type: No. 139

Lattice parameters (Å, degrees): 7.466 7.466 7.466 151.50 151.50 40.75
Fractional positions:
Cd  0.250  0.750  0.500
Cd  0.750  0.250  0.500
As  0.000  0.000  0.000
Ru  0.412  0.412  0.000
Ru  0.588  0.588  0.000

Most stable = <w>

<w>
Below is CdSb2As2 after structural relaxation, with properties calculated at the PBE level.

Calculated values
* spin magnetization: 0.0 μB per cell
* space-group type: No. 139

Lattice parameters (Å, degrees): 6.660 6.660 6.660 134.66 134.66 66.06
Fractional positions:
Cd  0.000  0.000  0.000
Sb  0.354  0.354  0.000
Sb  0.646  0.646  0.000
As  0.250  0.750  0.500
As  0.750  0.250  0.500

<x>
Below is CdSb2As2 after structural relaxation, with properties calculated at the PBE level.

Calculated values
* spin magnetization: 0.0 μB per cell
* space-group type: No. 139

Lattice parameters (Å, degrees): 5.730 5.730 5.730 120.02 120.02 89.96
Fractional positions:
Cd  0.000  0.000  0.000
Sb  0.250  0.750  0.500
Sb  0.750  0.250  0.500
As  0.329  0.329  0.000
As  0.671  0.671  0.000

Most stable = <x>

<w>
Below is CdSb2As2 after structural relaxation, with properties calculated at the PBE level.

Calculated values
* spin magnetization: 0.0 μB per cell
* space-group type: No. 127

Lattice parameters (Å, degrees): 8.056 8.056 3.888 90.00 90.00 90.00
Fractional positions:
Cd  0.000  0.000  0.000
Cd  0.500  0.500  0.000
Sb  0.157  0.343  0.500
Sb  0.343  0.843  0.500
Sb  0.657  0.157  0.500
Sb  0.843  0.657  0.500
As  0.174  0.674  0.000
As  0.326  0.174  0.000
As  0.674  0.826  0.000
As  0.826  0.326  0.000

<x>
Below is CdSb2As2 after structural relaxation, with properties calculated at the PBE level.

Calculated values
* spin magnetization: 0.0 μB per cell
* space-group type: No. 12

Lattice parameters (Å, degrees): 5.194 5.194 5.415 97.04 97.04 102.15
Fractional positions:
Cd  0.000  0.000  0.000
Sb  0.230  0.770  0.500
Sb  0.770  0.230  0.500
As  0.406  0.406  0.177
As  0.594  0.594  0.823

Most stable = <x>

<w>
Below is Sc2CdAs after structural relaxation, with properties calculated at the PBE level.

Calculated values
* spin magnetization: 1.0 μB per cell
* space-group type: No. 160

Lattice parameters (Å, degrees): 9.898 9.898 9.898 19.01 19.01 19.01
Fractional positions:
Sc  0.000  0.000  0.000
Sc  0.245  0.245  0.245
Cd  0.754  0.754  0.754
As  0.504  0.504  0.504

<x>
Below is Sc2CdAs after structural relaxation, with properties calculated at the PBE level.

Calculated values
* spin magnetization: 0.0 μB per cell
* space-group type: No. 225

Lattice parameters (Å, degrees): 4.888 4.888 4.888 60.00 60.00 60.00
Fractional positions:
Sc  0.250  0.250  0.250
Sc  0.750  0.750  0.750
Cd  0.000  0.000  0.000
As  0.500  0.500  0.500

<y>
Below is Sc2CdAs after structural relaxation, with properties calculated at the PBE level.

Calculated values
* spin magnetization: 0.0 μB per cell
* space-group type: No. 99

Lattice parameters (Å, degrees): 3.884 3.884 5.767 90.00 90.00 90.00
Fractional positions:
Sc  0.000  0.000  0.000
Sc  0.500  0.500  0.326
Cd  0.500  0.500  0.818
As  0.000  0.000  0.476

Most stable = <y>